# 1
Compound: Na3TlF
Source: the Alexandria database
Functional: meta-GGA SCAN
Structure: PBEsol geometry

abc: 5.818 5.818 5.818
angles: 90.00 90.00 90.00
Element x y z (fractional)
Na (0.000, 0.000, 0.500)
Na (0.000, 0.500, 0.000)
Na (0.500, 0.000, 0.000)
Tl (0.000, 0.000, 0.000)
F (0.500, 0.500, 0.500)

Summary:
ΔE_f (raw)	-127.9	kJ/mol of formula units
space-group type	Pm-3m (221)
density	2.46	g/cm3

# 2
Compound: ZrCu2Ni
Source: the Alexandria database
Functional: meta-GGA SCAN
Structure: PBEsol geometry

abc: 4.674 4.674 4.674
angles: 132.68 132.68 69.16
Element x y z (fractional)
Zr (0.000, 0.000, 0.000)
Cu (0.250, 0.750, 0.500)
Cu (0.750, 0.250, 0.500)
Ni (0.500, 0.500, 0.000)

Summary:
energy relative to the elements	-0.194	eV per atom
space-group type	I4/mmm (139)
density	8.50	g/cm3

# 3
Compound: InSbN2
Source: the Alexandria database
Functional: meta-GGA SCAN
Structure: PBEsol geometry

abc: 6.362 6.362 6.362
angles: 133.21 133.21 68.33
Element x y z (fractional)
In (0.000, 0.000, 0.000)
In (0.750, 0.250, 0.500)
Sb (0.250, 0.750, 0.500)
Sb (0.500, 0.500, 0.000)
N (0.119, 0.625, 0.994)
N (0.375, 0.369, 0.494)
N (0.631, 0.125, 0.006)
N (0.875, 0.881, 0.506)

Summary:
ΔE_f (raw)	207.5	kJ/mol of formula units
space-group type	I-42d (122)
density	6.54	g/cm3

# 4
Compound: AlBiW2O8
Source: the Alexandria database
Functional: meta-GGA SCAN
Structure: PBEsol geometry

abc: 4.936 5.876 10.794
angles: 90.00 110.08 90.00
Element x y z (fractional)
Al (0.000, 0.233, 0.250)
Al (0.000, 0.767, 0.750)
Bi (0.500, 0.368, 0.750)
Bi (0.500, 0.632, 0.250)
W (0.288, 0.132, 0.014)
W (0.288, 0.868, 0.514)
W (0.712, 0.132, 0.486)
W (0.712, 0.868, 0.986)
O (0.151, 0.120, 0.590)
O (0.151, 0.880, 0.090)
O (0.207, 0.335, 0.153)
O (0.207, 0.665, 0.653)
O (0.294, 0.371, 0.909)
O (0.294, 0.629, 0.409)
O (0.299, 0.091, 0.369)
O (0.299, 0.909, 0.869)
O (0.701, 0.091, 0.131)
O (0.701, 0.909, 0.631)
O (0.706, 0.371, 0.591)
O (0.706, 0.629, 0.091)
O (0.793, 0.335, 0.347)
O (0.793, 0.665, 0.847)
O (0.849, 0.120, 0.910)
O (0.849, 0.880, 0.410)

Summary:
ΔE_f (raw)	-2432.7	kJ/mol of formula units
space-group type	P2/c (13)
density	8.26	g/cm3

Q: The highest density belongs to which entry?
A: ZrCu2Ni

Q: density of number 4 (AlBiW2O8)?
A: 8.26 g/cm3

Q: Which of these has the lowest density?
A: Na3TlF

Q: Which of these has the lowest density?
A: Na3TlF